# PrCdCuAg | Alexandria | PBE-GGA | optimized geometry
data_PrCdCuAg
_chemical_formula_sum 'Pr4 Cd4 Cu4 Ag4'
_symmetry_space_group_name_H-M 'F -4 3 m'
_symmetry_Int_Tables_number 216
_symmetry_space_group_name_Hall 'F -4 2 3'
_cell_length_a 7.0332
_cell_length_b 7.0332
_cell_length_c 7.0332
_cell_angle_alpha 90.00
_cell_angle_beta 90.00
_cell_angle_gamma 90.00
loop_
_atom_site_label
_atom_site_type_symbol
_atom_site_fract_x
_atom_site_fract_y
_atom_site_fract_z
Pr1 Pr 0.0000 0.0000 0.0000
Cd1 Cd 0.0000 0.0000 0.5000
Cu1 Cu 0.2500 0.2500 0.2500
Ag1 Ag 0.2500 0.2500 0.7500
# - magnetic moment (μB per cell) = 0.00
# - DOS at the Fermi energy (states/eV/cell) = 16.23
# - E_form (meV per atom) = -187